# GGA-PBE MgCdGa2, relaxed
# - ΔE to the lowest computed polymorph: 54.9 meV/atom
# - Crystal system: orthorhombic
# - V: 337.12 Å³/cell
data_MgCdGa2
_cell_length_a 4.140
_cell_length_b 12.441
_cell_length_c 6.545
_cell_angle_alpha 90.00
_cell_angle_beta 90.00
_cell_angle_gamma 90.00
_symmetry_space_group_name_H-M 'C m c m'
_symmetry_Int_Tables_number 63
_symmetry_space_group_name_Hall '-C 2c 2'
loop_
_atom_site_label
_atom_site_fract_x
_atom_site_fract_y
_atom_site_fract_z
Mg1 0.000 0.232 0.250
Cd1 0.000 0.060 0.750
Ga1 0.000 0.396 0.548